An optimized crystal structure of Mg2BC. Source: Alexandria via LeMat-Bulk, functional PBE-GGA.

abc: 12.233 3.132 7.077
angles: 90.00 124.96 90.00
Space group Cm (No. 8)
Asymmetric unit:
Mg: 0.000 0.000 0.000 (multiplicity 2)
Mg: 0.063 0.000 0.555 (multiplicity 2)
Mg: 0.259 0.500 0.044 (multiplicity 2)
Mg: 0.334 0.000 0.503 (multiplicity 2)
B: 0.258 0.500 0.694 (multiplicity 2)
B: 0.301 0.000 0.832 (multiplicity 2)
C: 0.164 0.500 0.230 (multiplicity 2)
C: 0.173 0.500 0.428 (multiplicity 2)

Uncorrected energy ... -4.540 eV per atom
ρ ... 2.14 g/cm3
Energy above the lowest structure with this stoichiometry ... 147.9 meV/atom
Density of states at the Fermi level ... 0.1054 states/eV/atom
Calculated formation energy ... 0.232 eV per atom